Density functional theory data (PBE-GGA) for K2Sc2TeS6 after structural relaxation.

a = 6.6282 Å, b = 6.6282 Å, c = 7.8336 Å
α = 97.99°, β = 97.99°, γ = 120.08°
Positions (direct):
K1 0.8346 0.1654 0.0000
K2 0.1654 0.8346 0.0000
Sc1 0.3332 0.6668 0.5000
Sc2 0.6668 0.3332 0.5000
Te1 0.0000 0.0000 0.5000
S1 0.7234 0.7234 0.6910
S2 0.0620 0.4011 0.6898
S3 0.2766 0.2766 0.3090
S4 0.4011 0.0620 0.6898
S5 0.9380 0.5989 0.3102
S6 0.5989 0.9380 0.3102

Calculated values
Its calculated total energy is -5.18 eV/atom. The calculation puts the uncorrected formation energy at -1.2881 eV per atom. For the density of states at the Fermi level, the calculation gives 0.0 states/eV/cell.

=====

Density functional theory data (PBE-GGA) for Be2CrW after structural relaxation.

a = 2.5992 Å, b = 2.5992 Å, c = 6.7615 Å
α = 90.00°, β = 90.00°, γ = 97.95°
Positions (direct):
Cr1 0.5000 0.5000 0.2500
W1 0.5000 0.5000 0.7500
Be1 0.0000 0.0000 0.0150
Be2 0.0000 0.0000 0.4850

Calculated values
Its calculated total energy is -7.32 eV/atom. For the energy above the most stable polymorph in this dataset, the calculation gives 258 meV per atom. For the density of states at the Fermi level, the calculation gives 2.6 states/eV/cell. The calculation puts the formation energy at 0.185 eV per atom.

=====

Density functional theory data (PBE-GGA) for Ca2ZnPbN after structural relaxation.

a = 5.2636 Å, b = 5.2636 Å, c = 3.8655 Å
α = 90.00°, β = 90.00°, γ = 90.00°
Positions (direct):
Pb1 0.5000 0.5000 0.5000
Zn1 0.0000 0.0000 0.5000
Ca1 0.0000 0.5000 0.0000
Ca2 0.5000 0.0000 0.0000
N1 0.0000 0.0000 0.0000

Calculated values
Its calculated total energy is -3.94 eV/atom. For the energy above the most stable polymorph in this dataset, the calculation gives 98 meV per atom. The calculation puts the uncorrected formation energy at -0.4797 eV per atom. For the density of states at the Fermi level, the calculation gives 1.1 states/eV/cell.

=====

Density functional theory data (PBE-GGA) for Pa2Si3AgPt4 after structural relaxation.

a = 4.0854 Å, b = 4.0854 Å, c = 10.8341 Å
α = 90.00°, β = 90.00°, γ = 90.00°
Positions (direct):
Pa1 0.5000 0.0000 0.2477
Pa2 0.0000 0.5000 0.7523
Si1 0.0000 0.0000 0.5000
Si2 0.5000 0.0000 0.8760
Si3 0.0000 0.5000 0.1240
Ag1 0.5000 0.5000 0.5000
Pt1 0.5000 0.5000 0.0000
Pt2 0.0000 0.0000 0.0000
Pt3 0.5000 0.0000 0.6616
Pt4 0.0000 0.5000 0.3384

Calculated values
Its calculated total energy is -7.01 eV/atom. The calculation puts the uncorrected formation energy at -0.7797 eV per atom. For the density of states at the Fermi level, the calculation gives 6.2 states/eV/cell.

=====

Density functional theory data (PBE-GGA) for Th2HgH2 after structural relaxation.

a = 5.9759 Å, b = 5.9759 Å, c = 6.7537 Å
α = 102.98°, β = 102.98°, γ = 118.55°
Positions (direct):
Th1 0.4303 0.5697 0.2500
Th2 0.7847 0.2153 0.2500
Th3 0.2153 0.7847 0.7500
Th4 0.5697 0.4303 0.7500
Hg1 0.1138 0.8862 0.2500
Hg2 0.8862 0.1138 0.7500
H1 0.7520 0.5327 0.4901
H2 0.4673 0.2480 0.0099
H3 0.5327 0.7520 0.9901
H4 0.2480 0.4673 0.5099

Calculated values
Its calculated total energy is -4.69 eV/atom. For the density of states at the Fermi level, the calculation gives 4.8 states/eV/cell.

=====

Density functional theory data (PBE-GGA) for PuTe2PdCl after structural relaxation.

a = 4.1951 Å, b = 4.1951 Å, c = 14.5994 Å
α = 90.00°, β = 90.00°, γ = 90.00°
Each line ends with the local moment (μB).
Positions (direct):
Pu1 0.5000 0.0000 0.6349  5.32
Pu2 0.0000 0.5000 0.3651  5.32
Te1 0.0000 0.5000 0.7193  -0.10
Te2 0.0000 0.5000 0.0832  0.03
Te3 0.5000 0.0000 0.9168  0.03
Te4 0.5000 0.0000 0.2807  -0.10
Pd1 0.5000 0.0000 0.0974  0.03
Pd2 0.0000 0.5000 0.9026  0.03
Cl1 0.0000 0.0000 0.5000  -0.05
Cl2 0.5000 0.5000 0.5000  -0.05

Calculated values
Its calculated total energy is -6.40 eV/atom. The calculation puts the uncorrected formation energy at -0.8727 eV per atom. For the density of states at the Fermi level, the calculation gives 25.7 states/eV/cell.

=====

Density functional theory data (PBE-GGA) for MnFe2AsH after structural relaxation.

a = 3.6860 Å, b = 3.6860 Å, c = 3.5768 Å
α = 90.00°, β = 90.00°, γ = 90.00°
Each line ends with the local moment (μB).
Positions (direct):
H1 0.0000 0.0000 0.0000  -0.01
As1 0.5000 0.5000 0.5000  -0.07
Mn1 0.0000 0.0000 0.5000  2.45
Fe1 0.0000 0.5000 0.0000  0.54
Fe2 0.5000 0.0000 0.0000  0.54

Calculated values
Its calculated total energy is -6.82 eV/atom. For the density of states at the Fermi level, the calculation gives 4.0 states/eV/cell.

=====

Density functional theory data (PBE-GGA) for Ba3Nd2PaSb6 after structural relaxation.

a = 8.1023 Å, b = 8.1023 Å, c = 8.3813 Å
α = 99.29°, β = 99.29°, γ = 120.08°
Positions (direct):
Ba1 0.1708 0.8292 0.5000
Ba2 0.8292 0.1708 0.5000
Ba3 0.5000 0.5000 0.5000
Nd1 0.3340 0.6660 0.0000
Nd2 0.6660 0.3340 0.0000
Pa1 0.0000 0.0000 0.0000
Sb1 0.9296 0.6086 0.7878
Sb2 0.7517 0.7517 0.2147
Sb3 0.0704 0.3914 0.2122
Sb4 0.6086 0.9296 0.7878
Sb5 0.2483 0.2483 0.7853
Sb6 0.3914 0.0704 0.2122

Calculated values
Its calculated total energy is -5.08 eV/atom. The calculation puts the uncorrected formation energy at -0.9513 eV per atom. For the density of states at the Fermi level, the calculation gives 10.3 states/eV/cell.

=====

Density functional theory data (PBE-GGA) for BaH3Pd after structural relaxation.

a = 6.9640 Å, b = 4.7389 Å, c = 5.2848 Å
α = 89.26°, β = 68.28°, γ = 90.04°
Positions (direct):
H1 0.2605 0.1970 0.9391
H2 0.9191 0.4612 0.6628
H3 0.5819 0.7223 0.7857
H4 0.9232 0.4582 0.0621
H5 0.2545 0.1897 0.4523
H6 0.5877 0.7295 0.2725
Ba1 0.2098 0.7157 0.2161
Ba2 0.6325 0.2036 0.5086
Pd1 0.0988 0.2845 0.7736
Pd2 0.7434 0.6348 0.9513

Calculated values
Its calculated total energy is -3.88 eV/atom. For the density of states at the Fermi level, the calculation gives 0.8 states/eV/cell.

=====

Density functional theory data (PBE-GGA) for LiTiSiRu2 after structural relaxation.

a = 4.1657 Å, b = 3.9449 Å, c = 4.1657 Å
α = 90.00°, β = 90.00°, γ = 90.00°
Positions (direct):
Ru1 0.0000 0.0000 0.5000
Ru2 0.5000 0.0000 0.0000
Si1 0.5000 0.5000 0.5000
Li1 0.0000 0.0000 0.0000
Ti1 0.0000 0.5000 0.0000

Calculated values
Its calculated total energy is -6.11 eV/atom. The calculation puts the uncorrected formation energy at 0.6428 eV per atom. For the density of states at the Fermi level, the calculation gives 3.5 states/eV/cell.

=====

Density functional theory data (PBE-GGA) for Na3AcBi2Se6 after structural relaxation.

a = 7.4885 Å, b = 7.4885 Å, c = 7.5324 Å
α = 99.50°, β = 99.50°, γ = 120.04°
Positions (direct):
Na1 0.1699 0.8301 0.5000
Na2 0.8301 0.1699 0.5000
Na3 0.5000 0.5000 0.5000
Ac1 0.0000 0.0000 0.0000
Bi1 0.3333 0.6667 0.0000
Bi2 0.6667 0.3333 0.0000
Se1 0.9209 0.5743 0.7607
Se2 0.7346 0.7346 0.2427
Se3 0.0791 0.4257 0.2393
Se4 0.5743 0.9209 0.7607
Se5 0.2654 0.2654 0.7573
Se6 0.4257 0.0791 0.2393

Calculated values
Its calculated total energy is -4.13 eV/atom. The calculation puts the uncorrected formation energy at -1.0709 eV per atom. For the density of states at the Fermi level, the calculation gives 0.0 states/eV/cell.

=====

Density functional theory data (PBE-GGA) for La2Al6Pd9 after structural relaxation.

a = 5.6571 Å, b = 5.6571 Å, c = 11.8603 Å
α = 90.00°, β = 90.00°, γ = 120.00°
Positions (direct):
La1 0.0000 0.0000 0.6980
La2 0.0000 0.0000 0.3020
Al1 0.3333 0.6667 0.0000
Al2 0.6667 0.3333 0.0000
Al3 0.3333 0.6667 0.6631
Al4 0.6667 0.3333 0.6631
Al5 0.6667 0.3333 0.3369
Al6 0.3333 0.6667 0.3369
Pd1 0.5000 0.0000 0.8319
Pd2 0.0000 0.5000 0.8319
Pd3 0.5000 0.5000 0.8319
Pd4 0.5000 0.0000 0.1681
Pd5 0.0000 0.5000 0.1681
Pd6 0.5000 0.5000 0.1681
Pd7 0.5000 0.0000 0.5000
Pd8 0.0000 0.5000 0.5000
Pd9 0.5000 0.5000 0.5000

Calculated values
Its calculated total energy is -5.43 eV/atom. For the density of states at the Fermi level, the calculation gives 7.3 states/eV/cell. The calculation puts the formation energy at -0.780 eV per atom.

=====

Density functional theory data (PBE-GGA) for TbSmTlIr after structural relaxation.

a = 3.5059 Å, b = 3.5059 Å, c = 8.1403 Å
α = 90.00°, β = 90.00°, γ = 90.00°
Positions (direct):
Tb1 0.5000 0.5000 0.3662
Sm1 0.5000 0.5000 0.7774
Tl1 0.0000 0.0000 0.0768
Ir1 0.0000 0.0000 0.5644

Calculated values
Its calculated total energy is -5.71 eV/atom. For the energy above the most stable polymorph in this dataset, the calculation gives 0 meV per atom. For the density of states at the Fermi level, the calculation gives 3.1 states/eV/cell. The calculation puts the formation energy at -0.564 eV per atom.

=====

Density functional theory data (PBE-GGA) for SmDySeO2 after structural relaxation.

a = 4.0579 Å, b = 6.5681 Å, c = 7.6976 Å
α = 107.54°, β = 90.00°, γ = 90.00°
Positions (direct):
Sm1 0.2500 0.6864 0.9264
Sm2 0.7500 0.3136 0.0736
Dy1 0.2500 0.6744 0.4176
Dy2 0.7500 0.3256 0.5824
Se1 0.2500 0.0472 0.7562
Se2 0.7500 0.9528 0.2438
O1 0.7500 0.5126 0.3838
O2 0.2500 0.4874 0.6162
O3 0.7500 0.5181 0.8738
O4 0.2500 0.4819 0.1262

Calculated values
Its calculated total energy is -7.62 eV/atom. The calculation puts the uncorrected formation energy at -3.0798 eV per atom. For the density of states at the Fermi level, the calculation gives 0.0 states/eV/cell.

=====

Density functional theory data (PBE-GGA) for SbBr2Cl after structural relaxation.

a = 6.8552 Å, b = 7.6581 Å, c = 12.4435 Å
α = 87.20°, β = 90.00°, γ = 90.00°
Positions (direct):
Sb1 0.0347 0.2425 0.5896
Sb2 0.9653 0.7575 0.4104
Sb3 0.5347 0.2575 0.9104
Sb4 0.4653 0.7425 0.0896
Br1 0.7308 0.9673 0.9070
Br2 0.2692 0.0327 0.0930
Br3 0.2308 0.5327 0.5930
Br4 0.7692 0.4673 0.4070
Br5 0.7255 0.3766 0.0705
Br6 0.2745 0.6234 0.9295
Br7 0.2255 0.1234 0.4295
Br8 0.7745 0.8766 0.5705
Cl1 0.2630 0.5947 0.2261
Cl2 0.7370 0.4053 0.7739
Cl3 0.7630 0.9053 0.2739
Cl4 0.2370 0.0947 0.7261

Calculated values
Its calculated total energy is -3.02 eV/atom. For the energy above the most stable polymorph in this dataset, the calculation gives 0 meV per atom. The calculation puts the uncorrected formation energy at -0.6939 eV per atom. For the density of states at the Fermi level, the calculation gives 0.0 states/eV/cell.

=====

Density functional theory data (PBE-GGA) for UHgBi2 after structural relaxation.

a = 4.8550 Å, b = 4.8550 Å, c = 6.8831 Å
α = 69.35°, β = 69.35°, γ = 60.00°
Each line ends with the local moment (μB).
Positions (direct):
U1 0.0000 0.0000 0.0000  2.41
Bi1 0.2541 0.2541 0.2377  -0.04
Bi2 0.7459 0.7459 0.7623  -0.04
Hg1 0.5000 0.5000 0.5000  0.03

Calculated values
Its calculated total energy is -4.48 eV/atom. For the energy above the most stable polymorph in this dataset, the calculation gives 343 meV per atom. For the density of states at the Fermi level, the calculation gives 8.2 states/eV/cell. The calculation puts the formation energy at 0.356 eV per atom.

=====

Density functional theory data (PBE-GGA) for Pu4Pb2F after structural relaxation.

a = 4.8147 Å, b = 4.8147 Å, c = 9.1823 Å
α = 105.20°, β = 105.20°, γ = 90.00°
Each line ends with the local moment (μB).
Positions (direct):
Pb1 0.6361 0.6361 0.2722  -0.15
Pb2 0.3639 0.3639 0.7278  -0.15
F1 0.0000 0.0000 0.0000  0.00
Pu1 0.8239 0.8239 0.6477  5.53
Pu2 0.1761 0.1761 0.3523  5.53
Pu3 0.0000 0.5000 0.0000  5.58
Pu4 0.5000 0.0000 0.0000  5.58

Calculated values
Its calculated total energy is -10.08 eV/atom. The calculation puts the uncorrected formation energy at -0.5656 eV per atom. For the density of states at the Fermi level, the calculation gives 37.0 states/eV/cell.

=====

Density functional theory data (PBE-GGA) for CaTmCd5 after structural relaxation.

a = 4.4546 Å, b = 4.4546 Å, c = 9.6780 Å
α = 90.00°, β = 90.00°, γ = 90.00°
Positions (direct):
Ca1 0.5000 0.5000 0.0000
Tm1 0.0000 0.0000 0.5000
Cd1 0.0000 0.5000 0.7432
Cd2 0.0000 0.5000 0.2568
Cd3 0.5000 0.0000 0.7432
Cd4 0.5000 0.0000 0.2568
Cd5 0.5000 0.5000 0.5000

Calculated values
Its calculated total energy is -1.70 eV/atom. For the density of states at the Fermi level, the calculation gives 4.4 states/eV/cell. The calculation puts the formation energy at -0.122 eV per atom.

=====

Density functional theory data (PBE-GGA) for Ba2SCl2 after structural relaxation.

a = 4.6890 Å, b = 4.6896 Å, c = 11.3344 Å
α = 79.54°, β = 78.06°, γ = 60.00°
Positions (direct):
Ba1 0.7287 0.2087 0.3338
Ba2 0.2713 0.7913 0.6662
S1 0.0000 0.5000 0.5000
Cl1 0.4447 0.9085 0.2021
Cl2 0.5553 0.0915 0.7979

Calculated values
Its calculated total energy is -4.63 eV/atom. The calculation puts the uncorrected formation energy at -2.2922 eV per atom. For the density of states at the Fermi level, the calculation gives 0.0 states/eV/cell.

=====

Density functional theory data (PBE-GGA) for Pm8C3SI4 after structural relaxation.

a = 7.8885 Å, b = 8.9193 Å, c = 7.8885 Å
α = 116.26°, β = 120.00°, γ = 90.00°
Positions (direct):
Pm1 0.2359 0.6749 0.9391
Pm2 0.2359 0.6749 0.4718
Pm3 0.2757 0.3271 0.5514
Pm4 0.7032 0.6749 0.9391
Pm5 0.2968 0.3251 0.0609
Pm6 0.7243 0.6729 0.4486
Pm7 0.7641 0.3251 0.5282
Pm8 0.7641 0.3251 0.0609
C1 0.5000 0.5000 0.0000
C2 0.5000 0.5000 0.5000
C3 0.0000 0.5000 0.5000
S1 0.0000 0.5000 0.0000
I1 0.5000 0.0000 0.0000
I2 0.5000 0.0000 0.5000
I3 0.0000 0.0000 0.0000
I4 0.0000 0.0000 0.5000

Calculated values
Its calculated total energy is -5.67 eV/atom. The calculation puts the uncorrected formation energy at -0.9198 eV per atom. For the density of states at the Fermi level, the calculation gives 7.3 states/eV/cell.